VASP calculation (GGA-PBE) on a relaxed Zn3AgPd12 crystal.

For the formation energy from the elements, the calculation gives -0.2234 eV/atom.

Unit cell a=3.9435 b=3.9435 c=15.6582 alpha=90.00 beta=90.00 gamma=90.00
Last column: nearest neighbours and their distance in Å.
Space group P4/mmm (No. 123)
Unique sites:
Zn1 0.0000 0.0000 0.0000  12 Pd 2.76-2.79
Zn2 0.0000 0.0000 0.2459  12 Pd 2.75-2.79
Ag1 0.0000 0.0000 0.5000  12 Pd 2.79-2.84
Pd1 0.0000 0.5000 0.1235  4 Zn 2.75-2.76, 8 Pd 2.76-2.79
Pd2 0.0000 0.5000 0.3695  8 Pd 2.75-2.84, 2 Zn 2.76, 2 Ag 2.84
Pd3 0.5000 0.5000 0.0000  8 Pd 2.76, 4 Zn 2.79
Pd4 0.5000 0.5000 0.2472  8 Pd 2.75-2.76, 4 Zn 2.79
Pd5 0.5000 0.5000 0.5000  4 Ag 2.79, 8 Pd 2.84